Entry 1:
A plane-wave DFT calculation with GGA-PBE was carried out for a geometry-optimized Ti3Re4Mo2 structure.

Calculated values
Formation enthalpy at 0 K (meV/atom): -259
E (eV/atom): -10.830
V (Å³/atom): 15.31

The structure in POSCAR format:
```
Ti3Re4Mo2
1.0
5.3675 0.3064 0.5884
1.2714 6.6631 1.6841
-0.8233 -0.2952 7.6419
Re Mo Ti
8 4 6
direct
0.8616 0.1646 0.0555 Re
0.5815 0.5004 0.1676 Re
0.4185 0.4996 0.8324 Re
0.6926 0.1673 0.7217 Re
0.3074 0.8327 0.2783 Re
0.0293 0.1661 0.3894 Re
0.9707 0.8339 0.6106 Re
0.1384 0.8354 0.9445 Re
0.0800 0.5014 0.1639 Mo
0.4727 0.8301 0.6110 Mo
0.5273 0.1699 0.3890 Mo
0.9200 0.4986 0.8361 Mo
0.2493 0.5032 0.4957 Ti
0.6385 0.8344 0.9394 Ti
0.7507 0.4968 0.5043 Ti
0.8061 0.8351 0.2763 Ti
0.3615 0.1656 0.0606 Ti
0.1939 0.1649 0.7237 Ti
```

Entry 2:
A plane-wave DFT calculation with GGA-PBE was carried out for a geometry-optimized TiRe3Mo structure.

Calculated values
Formation enthalpy at 0 K (meV/atom): 1816
E (eV/atom): -9.398
Energy above the lowest structure with this stoichiometry (meV per atom): 0
V (Å³/atom): 17.89

The structure in POSCAR format:
```
TiRe3Mo
1.0
-2.9808 0.8387 -3.2269
0.0645 -4.3132 -1.1805
-3.3335 -0.8333 2.8626
Mo Re Ti
1 3 1
direct
0.5000 0.5000 0.5000 Mo
0.5000 0.0000 0.0000 Re
0.0000 0.0000 0.5000 Re
0.0000 0.5000 0.0000 Re
0.0000 0.0000 0.0000 Ti
```

Entry 3:
A plane-wave DFT calculation with GGA-PBE was carried out for a geometry-optimized Ti3Re2Mo4 structure.

Calculated values
Formation enthalpy at 0 K (meV/atom): -242
E (eV/atom): -10.454
V (Å³/atom): 15.59

The structure in POSCAR format:
```
Ti3Re2Mo4
1.0
3.0718 0.0000 0.6575
1.3299 4.9033 1.2912
-0.3706 -0.0035 9.2361
Mo Ti Re
4 3 2
direct
0.3307 0.4514 0.8873 Mo
0.6693 0.5486 0.1127 Mo
0.9973 0.6775 0.3280 Mo
0.0027 0.3225 0.6720 Mo
0.6633 0.2310 0.4423 Ti
0.0000 0.0000 0.0000 Ti
0.3367 0.7690 0.5577 Ti
0.3337 0.1107 0.2220 Re
0.6663 0.8893 0.7780 Re
```

Entry 4:
A plane-wave DFT calculation with GGA-PBE was carried out for a geometry-optimized Ti2Re2Mo3 structure.

Calculated values
Formation enthalpy at 0 K (meV/atom): 157
E (eV/atom): -10.297
Energy above the lowest structure with this stoichiometry (meV per atom): 163
V (Å³/atom): 15.95

The structure in POSCAR format:
```
Ti2Re2Mo3
1.0
2.5998 0.0000 0.0000
0.0000 7.0833 -0.8115
-1.2999 -3.0842 6.4149
Ti Re Mo
2 2 3
direct
0.5688 0.9204 0.1376 Ti
0.4312 0.0796 0.8624 Ti
0.1443 0.3485 0.2887 Re
0.8557 0.6515 0.7113 Re
0.7863 0.2149 0.5727 Mo
0.2137 0.7851 0.4273 Mo
0.0000 0.5000 0.0000 Mo
```

Entry 5:
A plane-wave DFT calculation with GGA-PBE was carried out for a geometry-optimized TiRe2Mo6 structure.

Calculated values
Formation enthalpy at 0 K (meV/atom): 315
E (eV/atom): -10.550
Energy above the lowest structure with this stoichiometry (meV per atom): 207
V (Å³/atom): 16.53

The structure in POSCAR format:
```
TiRe2Mo6
1.0
6.9268 1.1790 0.6823
1.4875 5.0929 -0.1072
1.4875 2.4444 4.4693
Ti Re Mo
1 2 6
direct
0.0000 0.0000 0.0000 Ti
0.8266 0.6361 0.6361 Re
0.1734 0.3639 0.3639 Re
0.7549 0.1530 0.6469 Mo
0.4196 0.7676 0.7676 Mo
0.2451 0.3531 0.8470 Mo
0.5804 0.2324 0.2324 Mo
0.7549 0.6469 0.1530 Mo
0.2451 0.8470 0.3531 Mo
```

Entry 6:
A plane-wave DFT calculation with GGA-PBE was carried out for a geometry-optimized TiRe2Mo6 structure.

Calculated values
Formation enthalpy at 0 K (meV/atom): 107
E (eV/atom): -10.757
Energy above the lowest structure with this stoichiometry (meV per atom): 0
V (Å³/atom): 16.59

The structure in POSCAR format:
```
TiRe2Mo6
1.0
-4.3081 -0.8263 -0.0147
-1.8917 -1.8435 3.5022
-3.6367 7.2350 4.5912
Re Ti Mo
2 1 6
direct
0.8978 0.8978 0.3065 Re
0.1022 0.1022 0.6935 Re
0.0000 0.0000 0.0000 Ti
0.7020 0.7020 0.8940 Mo
0.4006 0.4006 0.7981 Mo
0.8030 0.8030 0.5909 Mo
0.1970 0.1970 0.4091 Mo
0.2980 0.2980 0.1060 Mo
0.5994 0.5994 0.2019 Mo
```

Entry 7:
A plane-wave DFT calculation with GGA-PBE was carried out for a geometry-optimized TiReMo2 structure.

Calculated values
Formation enthalpy at 0 K (meV/atom): -195
E (eV/atom): -10.696
Energy above the lowest structure with this stoichiometry (meV per atom): 27
V (Å³/atom): 15.50

The structure in POSCAR format:
```
TiReMo2
1.0
3.1391 0.0000 0.0000
0.0000 4.4442 0.0000
0.0000 0.0000 4.4442
Mo Ti Re
2 1 1
direct
0.0000 0.0000 0.5000 Mo
0.0000 0.5000 0.0000 Mo
0.5000 0.5000 0.5000 Ti
0.5000 0.0000 0.0000 Re
```

Entry 8:
A plane-wave DFT calculation with GGA-PBE was carried out for a geometry-optimized Ti2Re2Mo3 structure.

Calculated values
Formation enthalpy at 0 K (meV/atom): -6
E (eV/atom): -10.460
Energy above the lowest structure with this stoichiometry (meV per atom): 0
V (Å³/atom): 15.78

The structure in POSCAR format:
```
Ti2Re2Mo3
1.0
-2.1327 -0.4833 -1.5780
4.9629 -4.3678 -2.5013
-2.2391 -1.5998 6.5442
Mo Re Ti
3 2 2
direct
0.6833 0.4286 0.2872 Mo
0.3167 0.5714 0.7128 Mo
0.0000 0.0000 0.0000 Mo
0.7977 0.8511 0.5593 Re
0.2023 0.1489 0.4407 Re
0.1348 0.7243 0.1489 Ti
0.8652 0.2757 0.8511 Ti
```

Entry 9:
A plane-wave DFT calculation with GGA-PBE was carried out for a geometry-optimized TiReMo2 structure.

Calculated values
Formation enthalpy at 0 K (meV/atom): 150
E (eV/atom): -10.352
Energy above the lowest structure with this stoichiometry (meV per atom): 372
V (Å³/atom): 16.32

The structure in POSCAR format:
```
TiReMo2
1.0
3.0037 0.0000 0.0000
-1.5018 5.6447 0.0000
0.0000 0.0001 7.7007
Re Mo Ti
2 4 2
direct
0.2531 0.5062 0.2500 Re
0.7469 0.4938 0.7500 Re
0.6306 0.2612 0.0346 Mo
0.6306 0.2612 0.4654 Mo
0.3694 0.7388 0.5346 Mo
0.3694 0.7388 0.9654 Mo
0.9761 0.9521 0.2500 Ti
0.0239 0.0479 0.7500 Ti
```

Entry 10:
A plane-wave DFT calculation with GGA-PBE was carried out for a geometry-optimized Ti3Re2Mo structure.

Calculated values
Formation enthalpy at 0 K (meV/atom): -278
E (eV/atom): -10.180
Energy above the lowest structure with this stoichiometry (meV per atom): 0
V (Å³/atom): 15.35

The structure in POSCAR format:
```
Ti3Re2Mo
1.0
-1.4626 0.8461 -2.6293
-2.7292 0.0152 1.5231
1.2827 9.0777 2.2077
Ti Re Mo
3 2 1
direct
0.0000 0.0000 0.3276 Ti
0.0000 0.0000 0.0000 Ti
0.0000 0.0000 0.6724 Ti
0.5000 0.5000 0.1663 Re
0.5000 0.5000 0.8337 Re
0.5000 0.5000 0.5000 Mo
```

Entry 11:
A plane-wave DFT calculation with GGA-PBE was carried out for a geometry-optimized TiVReMo3 structure.

Calculated values
Formation enthalpy at 0 K (meV/atom): -200
E (eV/atom): -10.526
V (Å³/atom): 15.23

The structure in POSCAR format:
```
TiVReMo3
1.0
3.1256 0.0000 0.0000
0.0000 6.8854 -0.9847
0.0000 -2.9049 8.9080
Mo Ti Re V
6 2 2 2
direct
0.2500 0.1311 0.9602 Mo
0.7500 0.8689 0.0398 Mo
0.2500 0.6179 0.7949 Mo
0.7500 0.3821 0.2051 Mo
0.2500 0.6249 0.4552 Mo
0.7500 0.3751 0.5448 Mo
0.2500 0.1226 0.2907 Ti
0.7500 0.8774 0.7093 Ti
0.2500 0.1261 0.6245 Re
0.7500 0.8739 0.3755 Re
0.2500 0.6280 0.1255 V
0.7500 0.3720 0.8745 V
```

Entry 12:
A plane-wave DFT calculation with GGA-PBE was carried out for a geometry-optimized TiVReMo2 structure.

Calculated values
Formation enthalpy at 0 K (meV/atom): 466
E (eV/atom): -9.759
V (Å³/atom): 16.94

The structure in POSCAR format:
```
TiVReMo2
1.0
-0.5028 -1.7635 2.1813
-5.4048 -4.3489 -6.6235
4.9082 -3.5060 -1.7031
Mo Re Ti V
4 2 2 2
direct
0.6435 0.2870 0.5549 Mo
0.3565 0.7130 0.0549 Mo
0.6435 0.2870 0.9451 Mo
0.3565 0.7130 0.4451 Mo
0.9219 0.8437 0.7500 Re
0.0781 0.1563 0.2500 Re
0.2593 0.5186 0.7500 Ti
0.7407 0.4814 0.2500 Ti
0.5000 0.0000 0.5000 V
0.5000 0.0000 0.0000 V
```